No. 1
Computed, not measured: a geometry-optimized NdFeCo structure at the PBE-GGA level of DFT.

Cell: 4.3765 4.3765 4.3765 Å, 60.00 60.00 60.00°
Last column: nearest neighbours and their distance in Å.
Fractional positions:
Fe: 0.0000 0.0000 0.0000  4 Nd 2.68, 4 Co 2.68
Nd: 0.7500 0.7500 0.7500  4 Fe 2.68
Co: 0.2500 0.2500 0.2500  4 Fe 2.68

Computed properties:
Crystal system: cubic
ΔE_f, kJ/mol of atoms: 49.4
Energy above the lowest structure with this stoichiometry, meV per atom: 0
Symmetry: No. 216

No. 2
Computed, not measured: a geometry-optimized NdFeCo structure at the PBE-GGA level of DFT.

Cell: 4.3675 4.3675 4.3675 Å, 60.00 60.00 60.00°
Last column: nearest neighbours and their distance in Å.
Fractional positions:
Co: 0.2500 0.2500 0.2500  4 Nd 2.67
Nd: 0.0000 0.0000 0.0000  4 Co 2.67, 4 Fe 2.67
Fe: 0.7500 0.7500 0.7500  4 Nd 2.67

Computed properties:
Crystal system: cubic
ΔE_f, kJ/mol of atoms: 112.0
Energy above the lowest structure with this stoichiometry, meV per atom: 649
Symmetry: No. 216

No. 3
Computed, not measured: a geometry-optimized NdFeCoSi2 structure at the PBE-GGA level of DFT.

Cell: 5.6395 5.6395 5.6395 Å, 138.84 138.84 59.62°
Last column: nearest neighbours and their distance in Å.
Fractional positions:
Fe: 0.5000 0.5000 0.0000  4 Si 2.28
Nd: 0.2500 0.7500 0.5000  8 Si 3.10, 4 Fe 3.15, 4 Co 3.15
Si: 0.6141 0.1141 0.5000  2 Fe 2.28, 2 Co 2.28
Si: 0.8859 0.3859 0.5000  2 Fe 2.28, 2 Co 2.28
Co: 0.0000 0.0000 0.0000  4 Si 2.28

Computed properties:
Crystal system: tetragonal
Symmetry: No. 119

No. 4
Computed, not measured: a geometry-optimized Nd2FeCoSi2 structure at the PBE-GGA level of DFT.

Cell: 4.0035 4.0035 7.0082 Å, 90.00 90.00 90.00°
Last column: nearest neighbours and their distance in Å.
Fractional positions:
Fe: 0.5000 0.5000 0.0000  4 Si 2.32
Co: 0.0000 0.0000 0.0000  4 Si 2.32
Si: 0.5000 0.0000 0.8314  2 Fe 2.32, 2 Co 2.32
Si: 0.0000 0.5000 0.1686  2 Fe 2.32, 2 Co 2.32
Nd: 0.0000 0.5000 0.6819  2 Fe 3.00, 2 Co 3.00, 4 Si 3.02
Nd: 0.5000 0.0000 0.3181  2 Fe 3.00, 2 Co 3.00, 4 Si 3.02

Computed properties:
Crystal system: tetragonal
Symmetry: No. 115

No. 5
Computed, not measured: a geometry-optimized FeCo2Ni structure at the PBE-GGA level of DFT.

Cell: 3.9763 3.9763 3.9763 Å, 60.00 60.00 60.00°
Last column: nearest neighbours and their distance in Å.
Fractional positions:
Co: 0.7500 0.7500 0.7500  4 Ni 2.43, 4 Co 2.43
Co: 0.0000 0.0000 0.0000  4 Fe 2.43, 4 Co 2.43
Fe: 0.2500 0.2500 0.2500  4 Co 2.43, 4 Ni 2.43
Ni: 0.5000 0.5000 0.5000  4 Co 2.43, 4 Fe 2.43

Computed properties:
Crystal system: cubic
ΔE_f, kJ/mol of atoms: 7.1
Symmetry: No. 216

No. 6
Computed, not measured: a geometry-optimized Y3FeCo6Ni2 structure at the PBE-GGA level of DFT.

Cell: 8.5378 8.5378 8.5378 Å, 33.99 33.99 33.99°
Last column: nearest neighbours and their distance in Å.
Fractional positions:
Ni: 0.3335 0.3335 0.3335  6 Co 2.45
Ni: 0.6665 0.6665 0.6665  6 Co 2.45
Fe: 0.5000 0.5000 0.5000  6 Co 2.50
Co: 0.5827 0.0807 0.5827  2 Ni 2.45, 4 Co 2.49-2.51, 1 Fe 2.50
Co: 0.4173 0.9193 0.4173  2 Ni 2.45, 4 Co 2.49-2.51, 1 Fe 2.50
Co: 0.4173 0.4173 0.9193  2 Ni 2.45, 4 Co 2.49-2.51, 1 Fe 2.50
Co: 0.0807 0.5827 0.5827  2 Ni 2.45, 4 Co 2.49-2.51, 1 Fe 2.50
Co: 0.9193 0.4173 0.4173  2 Ni 2.45, 4 Co 2.49-2.51, 1 Fe 2.50
Co: 0.5827 0.5827 0.0807  2 Ni 2.45, 4 Co 2.49-2.51, 1 Fe 2.50
Y: 0.8608 0.8608 0.8608  9 Co 2.85-3.06, 3 Fe 2.96, 3 Y 3.17
Y: 0.1392 0.1392 0.1392  9 Co 2.85-3.06, 3 Fe 2.96, 3 Y 3.17
Y: 0.0000 0.0000 0.0000  6 Ni 2.88, 12 Co 3.18

Computed properties:
Crystal system: trigonal
ΔE_f, kJ/mol of atoms: -18.9
Symmetry: No. 166

No. 7
Computed, not measured: a geometry-optimized ZnFeCoNi structure at the PBE-GGA level of DFT.

Cell: 4.0402 4.0402 4.0402 Å, 60.00 60.00 60.00°
Last column: nearest neighbours and their distance in Å.
Fractional positions:
Fe: 0.7500 0.7500 0.7500  4 Co 2.47, 4 Ni 2.47
Co: 0.0000 0.0000 0.0000  4 Fe 2.47, 4 Zn 2.47
Ni: 0.5000 0.5000 0.5000  4 Fe 2.47, 4 Zn 2.47
Zn: 0.2500 0.2500 0.2500  4 Ni 2.47, 4 Co 2.47

Computed properties:
Crystal system: cubic
ΔE_f, kJ/mol of atoms: -8.5
Energy above the lowest structure with this stoichiometry, meV per atom: 0
Symmetry: No. 216

No. 8
Computed, not measured: a geometry-optimized ZnFeCoNi structure at the PBE-GGA level of DFT.

Cell: 4.0334 4.0334 4.0334 Å, 60.00 60.00 60.00°
Last column: nearest neighbours and their distance in Å.
Fractional positions:
Ni: 0.5000 0.5000 0.5000  4 Co 2.47, 4 Fe 2.47
Co: 0.7500 0.7500 0.7500  4 Ni 2.47, 4 Zn 2.47
Fe: 0.2500 0.2500 0.2500  4 Ni 2.47, 4 Zn 2.47
Zn: 0.0000 0.0000 0.0000  4 Fe 2.47, 4 Co 2.47

Computed properties:
Crystal system: cubic
ΔE_f, kJ/mol of atoms: 9.2
Energy above the lowest structure with this stoichiometry, meV per atom: 183
Symmetry: No. 216

No. 9
Computed, not measured: a geometry-optimized NpFeCo structure at the PBE-GGA level of DFT.

Cell: 4.0247 4.0247 4.0247 Å, 60.00 60.00 60.00°
Last column: nearest neighbours and their distance in Å.
Fractional positions:
Fe: 0.2500 0.2500 0.2500  4 Co 2.46, 4 Np 2.46
Np: 0.5000 0.5000 0.5000  4 Fe 2.46
Co: 0.0000 0.0000 0.0000  4 Fe 2.46

Computed properties:
Crystal system: cubic
ΔE_f, kJ/mol of atoms: 50.2
Energy above the lowest structure with this stoichiometry, meV per atom: 0
Symmetry: No. 216

No. 10
Computed, not measured: a geometry-optimized FeCoSbOs structure at the PBE-GGA level of DFT.

Cell: 4.3276 4.3276 4.3276 Å, 60.00 60.00 60.00°
Last column: nearest neighbours and their distance in Å.
Fractional positions:
Co: 0.7500 0.7500 0.7500  4 Fe 2.65, 4 Sb 2.65
Sb: 0.0000 0.0000 0.0000  4 Co 2.65, 4 Os 2.65
Fe: 0.5000 0.5000 0.5000  4 Co 2.65, 4 Os 2.65
Os: 0.2500 0.2500 0.2500  4 Fe 2.65, 4 Sb 2.65

Computed properties:
Crystal system: cubic
Energy above the lowest structure with this stoichiometry, meV per atom: 0
Symmetry: No. 216

No. 11
Computed, not measured: a geometry-optimized TlFeCoOs structure at the PBE-GGA level of DFT.

Cell: 4.3864 4.3864 4.3864 Å, 60.00 60.00 60.00°
Last column: nearest neighbours and their distance in Å.
Fractional positions:
Tl: 0.0000 0.0000 0.0000  4 Co 2.69, 4 Os 2.69
Co: 0.7500 0.7500 0.7500  4 Fe 2.69, 4 Tl 2.69
Os: 0.2500 0.2500 0.2500  4 Fe 2.69, 4 Tl 2.69
Fe: 0.5000 0.5000 0.5000  4 Co 2.69, 4 Os 2.69

Computed properties:
Crystal system: cubic
Energy above the lowest structure with this stoichiometry, meV per atom: 0
Symmetry: No. 216

No. 12
Computed, not measured: a geometry-optimized FeCoP2 structure at the PBE-GGA level of DFT.

Cell: 3.2050 5.0204 5.6082 Å, 90.00 90.00 90.00°
Last column: nearest neighbours and their distance in Å.
Fractional positions:
Fe: 0.0000 0.2509 0.7015  6 P 2.21-2.33
Fe: 0.5000 0.7491 0.2015  6 P 2.21-2.33
P: 0.0000 0.4415 0.0773  3 Co 2.20-2.25, 3 Fe 2.31-2.33
P: 0.0000 0.9397 0.4218  3 Fe 2.21-2.24, 3 Co 2.32-2.33
P: 0.5000 0.0603 0.9218  3 Fe 2.21-2.24, 3 Co 2.32-2.33
P: 0.5000 0.5585 0.5773  3 Co 2.20-2.25, 3 Fe 2.31-2.33
Co: 0.5000 0.2488 0.2994  6 P 2.20-2.33
Co: 0.0000 0.7512 0.7994  6 P 2.20-2.33

Computed properties:
Crystal system: orthorhombic
Symmetry: No. 31

| no. | final energy (eV/atom) |
| --- | --- |
| 1 | -6.214 |
| 2 | -5.565 |
| 3 | -6.912 |
| 4 | -6.610 |
| 5 | -6.949 |
| 6 | -6.986 |
| 7 | -5.650 |
| 8 | -5.467 |
| 9 | -8.874 |
| 10 | -7.410 |
| 11 | -6.594 |
| 12 | -7.178 |